[1]
10
Lattice="-2.492 -0.395 -3.584 3.594 0.083 -2.508 1.087 -16.152 1.024" Properties=species:S:1:pos:R:3 comment="AcBiTe2O (PBE-GGA, optimized geometry)" rho_kg_m3=7536 e_form_raw_ev_per_atom=-1.551 pbc="T T T"
Ac -0.620 -9.499 -1.203
O 1.094 -8.232 -2.534
O 0.544 -8.076 0.512
Te -0.258 -14.884 -0.861
Ac 2.258 -6.808 -0.820
Bi 2.739 -13.957 -0.367
Te 1.896 -1.424 -1.161
Bi -1.101 -2.350 -1.656
Te 2.546 -11.085 -0.549
Te -0.908 -5.223 -1.474


[2]
18
Lattice="6.676 0.000 0.000 0.000 6.676 0.000 0.000 0.000 11.722" Properties=species:S:1:pos:R:3 comment="ErTm4Sc4 (PBE-GGA, optimized geometry)" de_polymorph_kj_per_mol_fu=205 delta_e_f_ev_per_atom=0.288 rho_kg_m3=6502 n_ef_per_ev_fu=16.12 pbc="T T T"
Sc 3.338 5.227 0.652
Sc 1.890 0.000 6.513
Tm 0.000 4.957 8.529
Sc 3.338 1.448 0.652
Tm 4.957 0.000 3.193
Sc 1.448 3.338 11.069
Tm 3.338 5.057 9.054
Sc 4.786 0.000 6.513
Tm 5.057 3.338 2.668
Tm 3.338 1.619 9.054
Sc 0.000 1.890 5.208
Er 3.338 3.338 5.861
Er 0.000 0.000 0.000
Sc 5.227 3.338 11.069
Tm 1.719 0.000 3.193
Tm 0.000 1.719 8.529
Tm 1.619 3.338 2.668
Sc 0.000 4.786 5.208


[3]
6
Lattice="0.000 3.681 3.681 3.681 0.000 3.681 3.681 3.681 0.000" Properties=species:S:1:pos:R:3 comment="ReMoW4 (PBE-GGA, optimized geometry)" de_polymorph_kj_per_mol_fu=0 delta_e_f_ev_per_atom=0.454 rho_kg_m3=16941 n_ef_per_ev_fu=7.59 pbc="T T T"
W 4.599 2.762 4.599
W 4.599 4.599 2.762
W 2.762 4.599 4.599
Mo 5.521 5.521 5.521
W 2.762 2.762 2.762
Re 0.000 0.000 0.000


[4]
6
Lattice="0.000 3.780 3.780 3.780 0.000 3.780 3.780 3.780 0.000" Properties=species:S:1:pos:R:3 comment="Li4ZnSb (PBE-GGA, optimized geometry)" rho_kg_m3=3305 e_form_raw_ev_per_atom=-0.111 n_ef_per_ev_fu=1.93 pbc="T T T"
Li 4.721 2.838 4.721
Sb 5.669 5.669 5.669
Zn 0.000 0.000 0.000
Li 2.838 2.838 2.838
Li 2.838 4.721 4.721
Li 4.721 4.721 2.838


[5]
8
Lattice="6.399 -0.049 -0.028 -1.667 4.542 0.028 2.763 1.807 4.987" Properties=species:S:1:pos:R:3 comment="CuS2O (PBE-GGA, optimized geometry)" rho_kg_m3=3299 e_form_raw_ev_per_atom=-0.390 n_ef_per_ev_fu=0.00 pbc="T T T"
S 4.143 3.486 4.862
S 7.237 2.624 3.550
Cu -0.597 4.732 1.518
O 0.944 3.574 2.389
S 4.278 3.069 1.552
Cu 5.641 1.850 0.271
S 4.588 2.110 3.352
O 7.760 1.253 3.288


[6]
5
Lattice="-0.601 -0.170 -5.210 0.268 -4.249 0.107 -5.202 -0.313 0.611" Properties=species:S:1:pos:R:3 comment="HfTaFeHg2 (PBE-GGA, optimized geometry)" delta_e_f_ev_per_atom=1.699 rho_kg_m3=11561 n_ef_per_ev_fu=9.16 pbc="T T T"
Ta -2.768 -2.366 -2.246
Fe 0.134 -2.124 0.054
Hg -0.301 -0.085 -2.605
Hg -2.601 -0.156 0.305
Hf 0.000 0.000 0.000


[7]
10
Lattice="3.961 0.000 0.905 1.689 6.521 1.730 -0.011 -0.120 9.169" Properties=species:S:1:pos:R:3 comment="HgSb4Au5 (PBE-GGA, optimized geometry)" rho_kg_m3=11693 e_form_raw_ev_per_atom=-0.025 n_ef_per_ev_fu=4.02 pbc="T T T"
Au 2.318 5.806 8.094
Au 0.839 3.201 5.449
Sb 1.461 2.493 2.727
Sb 2.958 5.162 5.292
Sb 4.178 3.908 9.076
Au 3.320 0.595 3.709
Au 3.566 4.482 2.631
Sb 2.680 1.239 6.511
Hg 0.000 0.000 0.000
Au 2.072 1.919 9.172


[8]
10
Lattice="3.179 0.000 0.000 0.000 3.179 0.000 0.000 0.000 17.107" Properties=species:S:1:pos:R:3 comment="TmSc4Ir5 (PBE-GGA, optimized geometry)" delta_e_f_ev_per_atom=-0.990 rho_kg_m3=12581 n_ef_per_ev_fu=1.36 pbc="T T T"
Ir 1.590 1.590 5.210
Sc 0.000 0.000 6.875
Sc 0.000 0.000 10.232
Tm 0.000 0.000 0.000
Ir 1.590 1.590 11.897
Ir 1.590 1.590 15.233
Sc 0.000 0.000 3.515
Ir 1.590 1.590 8.553
Ir 1.590 1.590 1.874
Sc 0.000 0.000 13.591


[9]
18
Lattice="5.671 0.000 0.000 -2.835 11.307 0.000 0.000 0.000 10.616" Properties=species:S:1:pos:R:3 comment="Ac2La5DyTm (PBE-GGA, optimized geometry)" delta_e_f_ev_per_atom=0.102 rho_kg_m3=7220 n_ef_per_ev_fu=13.07 pbc="T T T"
La 2.835 0.001 8.049
La 0.000 0.138 0.086
La 0.000 8.484 0.087
Tm 2.835 2.334 0.086
La 0.000 6.270 3.390
Dy 2.835 6.524 5.396
Ac 0.000 2.611 2.905
La 0.000 6.274 7.403
Ac 0.000 2.614 7.885
La 2.835 2.823 5.396
La 2.835 5.034 2.095
La 2.835 5.037 8.699
Tm 0.000 8.973 5.394
Ac 2.835 8.694 2.577
Dy 0.000 4.784 0.088
La 0.000 11.307 2.741
La 2.835 11.169 5.395
Ac 2.835 8.697 8.213


[10]
4
Lattice="-0.176 2.638 -2.852 0.143 -1.140 -3.716 -14.713 -0.698 -2.389" Properties=species:S:1:pos:R:3 comment="KSr2Ho (PBE-GGA, optimized geometry)" delta_e_f_ev_per_atom=0.396 rho_kg_m3=3259 n_ef_per_ev_fu=4.53 pbc="T T T"
Sr -11.178 -0.410 -2.341
Ho 0.000 0.000 0.000
Sr -3.569 1.210 -6.616
K -7.373 0.400 -4.478


[11]
12
Lattice="2.871 0.000 0.000 0.000 7.477 0.000 0.000 0.000 8.793" Properties=species:S:1:pos:R:3 comment="MgZn4Ru (PBE-GGA, optimized geometry)" de_polymorph_kj_per_mol_fu=52 delta_e_f_ev_per_atom=-0.044 rho_kg_m3=6809 n_ef_per_ev_fu=2.64 pbc="T T T"
Zn 1.436 2.410 8.539
Zn 1.436 5.068 0.254
Zn 1.436 6.545 6.595
Mg 0.000 3.396 2.198
Zn 0.000 0.000 4.396
Zn 1.436 2.410 4.651
Zn 0.000 0.000 0.000
Ru 0.000 6.168 2.198
Zn 1.436 0.932 2.198
Mg 0.000 4.081 6.595
Zn 1.436 5.068 4.142
Ru 0.000 1.310 6.595


[12]
10
Lattice="8.849 0.000 0.000 0.000 8.849 0.000 0.000 0.000 3.336" Properties=species:S:1:pos:R:3 comment="SrSc2Cd2 (PBE-GGA, optimized geometry)" de_polymorph_kj_per_mol_fu=0 delta_e_f_ev_per_atom=-0.131 rho_kg_m3=5115 n_ef_per_ev_fu=4.94 pbc="T T T"
Sr 4.425 4.425 0.000
Cd 2.890 1.535 1.668
Cd 5.960 7.314 1.668
Cd 1.535 5.960 1.668
Cd 7.314 2.890 1.668
Sr 0.000 0.000 0.000
Sc 1.082 3.343 0.000
Sc 5.507 1.082 0.000
Sc 7.767 5.507 0.000
Sc 3.343 7.767 0.000